(1)
Computed, not measured: crystalline MnAg8Au2 at its relaxed geometry at the PBE level of DFT.

Cell lengths 4.8239, 7.0143, 7.0143 Å; angles 84.35, 78.33, 78.33 degrees
With the nearest neighbours (Å) after each atom.
Sites, in units of the cell vectors:
1 Ag 0.1896 0.8363 0.3355  4 Ag 2.75-3.04, 1 Mn 2.76, 1 Au 2.80
2 Ag 0.1232 0.7273 0.7273  1 Mn 2.73, 5 Ag 2.75-3.04, 2 Au 2.76
3 Ag 0.2923 0.4232 0.4232  7 Ag 2.83-3.04, 1 Au 2.84
4 Ag 0.8768 0.2727 0.2727  1 Mn 2.73, 5 Ag 2.75-3.04, 2 Au 2.76
5 Ag 0.8104 0.1637 0.6645  4 Ag 2.75-3.04, 1 Mn 2.76, 1 Au 2.80
6 Ag 0.8104 0.6645 0.1637  4 Ag 2.75-3.04, 1 Mn 2.76, 1 Au 2.80
7 Ag 0.1896 0.3355 0.8363  4 Ag 2.75-3.04, 1 Mn 2.76, 1 Au 2.80
8 Ag 0.7077 0.5768 0.5768  7 Ag 2.83-3.04, 1 Au 2.84
9 Au 0.4551 0.1389 0.1389  2 Mn 2.63-2.94, 5 Ag 2.76-2.84, 1 Au 2.80
10 Au 0.5449 0.8611 0.8611  2 Mn 2.63-2.94, 5 Ag 2.76-2.84, 1 Au 2.80
11 Mn 0.0000 0.0000 0.0000  4 Au 2.63-2.94, 6 Ag 2.73-2.76

Computed properties:
The total energy comes out at -35.99 eV/cell. Its space-group type is No. 12. The value obtained for the calculated density is 9.6 g cm⁻³. The value obtained for the volume is 227.2 Å³/f.u. The value obtained for the energy of formation from the pure elements is 232 meV/atom. The value obtained for the density of states at the Fermi level is 0.377 states/eV/atom.

---

(2)
Computed, not measured: crystalline MnAg2Au2 at its relaxed geometry at the PBE level of DFT.

Cell lengths 3.7469, 3.7469, 7.5180 Å; angles 104.43, 104.43, 90.00 degrees
With the nearest neighbours (Å) after each atom.
Sites, in units of the cell vectors:
1 Au 0.5950 0.5950 0.1901  1 Au 2.67, 4 Ag 2.87, 4 Mn 2.97
2 Au 0.4050 0.4050 0.8099  1 Au 2.67, 4 Ag 2.87, 4 Mn 2.97
3 Ag 0.7500 0.2500 0.5000  4 Ag 2.65, 4 Au 2.87
4 Ag 0.2500 0.7500 0.5000  4 Ag 2.65, 4 Au 2.87
5 Mn 0.0000 0.0000 0.0000  8 Au 2.97

Computed properties:
The total energy comes out at -20.30 eV/cell. Its space-group type is No. 139. The value obtained for the calculated density is 11.2 g cm⁻³. The calculation puts the excess energy over the best structure of this formula in the dataset at 75.8 meV per atom. The value obtained for the volume is 98.8 Å³/f.u. The value obtained for the energy of formation from the pure elements is 225 meV/atom. The value obtained for the density of states at the Fermi level is 0.469 states/eV/atom.

---

(3)
Computed, not measured: crystalline MnAgAu3 at its relaxed geometry at the PBE level of DFT.

Cell lengths 4.9197, 4.9197, 4.9197 Å; angles 90.00, 90.00, 90.00 degrees
With the nearest neighbours (Å) after each atom.
Sites, in units of the cell vectors:
1 Ag 0.5000 0.5000 0.5000  12 Au 3.48
2 Au 0.5000 0.0000 0.0000  2 Mn 2.46
3 Au 0.0000 0.0000 0.5000  2 Mn 2.46
4 Au 0.0000 0.5000 0.0000  2 Mn 2.46
5 Mn 0.0000 0.0000 0.0000  6 Au 2.46

Computed properties:
The total energy comes out at -18.43 eV/cell. Its space-group type is No. 221. The value obtained for the calculated density is 10.5 g cm⁻³. The calculation puts the excess energy over the best structure of this formula in the dataset at 565.6 meV per atom. The value obtained for the volume is 119.1 Å³/f.u. The value obtained for the energy of formation from the pure elements is 685 meV/atom. The value obtained for the density of states at the Fermi level is 0.424 states/eV/atom.

---

(4)
Computed, not measured: crystalline Mn2AgAu at its relaxed geometry at the PBE level of DFT.

Cell lengths 4.7997, 4.7997, 5.0238 Å; angles 79.10, 79.10, 36.13 degrees
With the nearest neighbours (Å) after each atom.
Sites, in units of the cell vectors:
1 Mn 0.5027 0.5027 0.4974  3 Au 2.78-2.83, 3 Ag 2.80-2.82, 6 Mn 2.91-2.98
2 Mn 0.9973 0.9973 0.0026  3 Au 2.78-2.83, 3 Ag 2.80-2.82, 6 Mn 2.91-2.98
3 Ag 0.7500 0.7500 0.7500  6 Mn 2.80-2.82, 4 Au 2.92, 2 Ag 2.98
4 Au 0.2500 0.2500 0.2500  6 Mn 2.78-2.83, 4 Ag 2.92, 2 Au 2.98

Computed properties:
The total energy comes out at -23.48 eV/cell. Its space-group type is No. 12. The value obtained for the calculated density is 10.3 g cm⁻³. The value obtained for the volume is 66.9 Å³/f.u. The value obtained for the energy of formation from the pure elements is 247 meV/atom. The value obtained for the density of states at the Fermi level is 0.446 states/eV/atom.

---

(5)
Computed, not measured: crystalline Mn2AgAu at its relaxed geometry at the PBE level of DFT.

Cell lengths 3.1638, 4.5928, 4.5928 Å; angles 90.00, 90.00, 90.00 degrees
With the nearest neighbours (Å) after each atom.
Sites, in units of the cell vectors:
1 Mn 0.0000 0.5000 0.0000  4 Au 2.79, 4 Ag 2.79
2 Mn 0.0000 0.0000 0.5000  4 Au 2.79, 4 Ag 2.79
3 Ag 0.5000 0.5000 0.5000  8 Mn 2.79
4 Au 0.5000 0.0000 0.0000  8 Mn 2.79

Computed properties:
The total energy comes out at -23.88 eV/cell. Its space-group type is No. 123. The value obtained for the calculated density is 10.3 g cm⁻³. The value obtained for the volume is 66.7 Å³/f.u. The value obtained for the energy of formation from the pure elements is 148 meV/atom. The value obtained for the density of states at the Fermi level is 0.469 states/eV/atom.

---

(6)
Computed, not measured: crystalline Mn2AgAu8 at its relaxed geometry at the PBE level of DFT.

Cell lengths 4.1691, 6.6547, 7.6067 Å; angles 107.44, 105.90, 90.00 degrees
With the nearest neighbours (Å) after each atom.
Sites, in units of the cell vectors:
1 Mn 0.2239 0.6473 0.4477  10 Au 2.78-2.92, 2 Mn 3.12
2 Mn 0.7761 0.3527 0.5523  10 Au 2.78-2.92, 2 Mn 3.12
3 Au 0.0449 0.7282 0.0897  1 Mn 2.83, 9 Au 2.89-3.04, 2 Ag 2.96
4 Au 0.6815 0.9134 0.3630  3 Mn 2.82-2.92, 8 Au 2.87-3.00, 1 Ag 2.89
5 Au 0.3995 0.5397 0.7990  3 Mn 2.78-2.87, 7 Au 2.88-3.02, 1 Ag 2.96
6 Au 0.8550 0.7966 0.7099  3 Mn 2.80-2.82, 7 Au 2.88-3.04, 2 Ag 2.98
7 Au 0.9551 0.2718 0.9103  1 Mn 2.83, 9 Au 2.89-3.04, 2 Ag 2.96
8 Au 0.1450 0.2034 0.2901  3 Mn 2.80-2.82, 7 Au 2.88-3.04, 2 Ag 2.98
9 Au 0.6005 0.4603 0.2010  3 Mn 2.78-2.87, 7 Au 2.88-3.02, 1 Ag 2.96
10 Au 0.3185 0.0866 0.6370  3 Mn 2.82-2.92, 8 Au 2.87-3.00, 1 Ag 2.89
11 Ag 0.5000 0.0000 0.0000  12 Au 2.89-2.98

Computed properties:
The total energy comes out at -47.95 eV/cell. Its space-group type is No. 12. The value obtained for the calculated density is 15.4 g cm⁻³. The calculation puts the excess energy over the best structure of this formula in the dataset at 0.0 meV per atom. The value obtained for the volume is 192.9 Å³/f.u. The value obtained for the energy of formation from the pure elements is -49 meV/atom. The value obtained for the density of states at the Fermi level is 0.365 states/eV/atom.

---

(7)
Computed, not measured: crystalline MnAg3Au6 at its relaxed geometry at the PBE level of DFT.

Cell lengths 2.8673, 10.7343, 12.5652 Å; angles 111.79, 90.00, 90.00 degrees
With the nearest neighbours (Å) after each atom.
Sites, in units of the cell vectors:
1 Au 0.2500 0.7301 0.1012  1 Mn 2.68, 4 Ag 2.78-2.92, 6 Au 2.87-2.98
2 Au 0.7500 0.9610 0.0941  3 Ag 2.86-3.03, 8 Au 2.87-3.13
3 Au 0.2500 0.4414 0.3031  6 Ag 2.78-2.95, 5 Au 2.87-3.08
4 Au 0.2500 0.3082 0.7051  2 Mn 2.83, 8 Au 2.87-3.09, 3 Ag 2.89-3.14
5 Au 0.2500 0.8780 0.5140  3 Mn 2.79-2.82, 8 Au 2.87-3.12, 2 Ag 3.02
6 Au 0.7500 0.1220 0.4860  3 Mn 2.79-2.82, 8 Au 2.87-3.12, 2 Ag 3.02
7 Au 0.7500 0.6918 0.2949  2 Mn 2.83, 8 Au 2.87-3.09, 3 Ag 2.89-3.14
8 Au 0.7500 0.2699 0.8988  1 Mn 2.68, 4 Ag 2.78-2.92, 6 Au 2.87-2.98
9 Au 0.7500 0.8371 0.7126  1 Mn 2.68, 3 Ag 2.83-2.95, 5 Au 2.87-2.96
10 Au 0.2500 0.0390 0.9059  3 Ag 2.86-3.03, 8 Au 2.87-3.13
11 Au 0.7500 0.5586 0.6969  6 Ag 2.78-2.95, 5 Au 2.87-3.08
12 Au 0.2500 0.1629 0.2874  1 Mn 2.68, 3 Ag 2.83-2.95, 5 Au 2.87-2.96
13 Ag 0.7500 0.5332 0.9093  4 Au 2.78-2.92, 6 Ag 2.87-2.99
14 Ag 0.2500 0.3765 0.5033  7 Au 2.83-3.02, 4 Ag 2.87-3.04
15 Ag 0.7500 0.6235 0.4967  7 Au 2.83-3.02, 4 Ag 2.87-3.04
16 Ag 0.7500 0.2350 0.1133  8 Au 2.86-3.03, 4 Ag 2.87-2.97
17 Ag 0.2500 0.7650 0.8867  8 Au 2.86-3.03, 4 Ag 2.87-2.97
18 Ag 0.2500 0.4668 0.0907  4 Au 2.78-2.92, 6 Ag 2.87-2.99
19 Mn 0.7500 0.0753 0.6898  7 Au 2.68-2.83, 2 Mn 2.87
20 Mn 0.2500 0.9247 0.3102  7 Au 2.68-2.83, 2 Mn 2.87

Computed properties:
The total energy comes out at -74.45 eV/cell. Its space-group type is No. 11. The value obtained for the calculated density is 14.4 g cm⁻³. The calculation puts the excess energy over the best structure of this formula in the dataset at 53.6 meV per atom. The value obtained for the volume is 179.6 Å³/f.u. The value obtained for the energy of formation from the pure elements is 16 meV/atom. The value obtained for the density of states at the Fermi level is 0.297 states/eV/atom.

---

(8)
Computed, not measured: crystalline MnAg2Au5 at its relaxed geometry at the PBE level of DFT.

Cell lengths 6.4300, 5.7500, 14.4448 Å; angles 106.17, 49.37, 132.28 degrees
With the nearest neighbours (Å) after each atom.
Sites, in units of the cell vectors:
1 Au 0.4483 0.7231 0.6913  7 Au 2.84-3.05, 1 Mn 2.90, 4 Ag 2.92-2.99
2 Au 0.5692 0.7807 0.3038  7 Au 2.84-3.09, 2 Mn 2.86-2.90, 3 Ag 2.96-3.06
3 Au 0.8393 0.0908 0.4405  1 Mn 2.70, 4 Ag 2.84-2.89, 4 Au 2.86-2.99
4 Au 0.5517 0.2769 0.3087  7 Au 2.84-3.05, 1 Mn 2.90, 4 Ag 2.92-2.99
5 Au 0.1607 0.9092 0.5595  1 Mn 2.70, 4 Ag 2.84-2.89, 4 Au 2.86-2.99
6 Au 0.3514 0.7846 0.1781  3 Ag 2.81-2.88, 2 Mn 2.87-2.88, 6 Au 2.88-3.01
7 Au 0.6486 0.2154 0.8219  3 Ag 2.81-2.88, 2 Mn 2.87-2.88, 6 Au 2.88-3.01
8 Au 0.1204 0.2654 0.0613  7 Au 2.82-3.05, 2 Mn 2.84-2.89, 3 Ag 2.86-2.91
9 Au 0.8796 0.7346 0.9387  7 Au 2.82-3.05, 2 Mn 2.84-2.89, 3 Ag 2.86-2.91
10 Au 0.4308 0.2193 0.6962  7 Au 2.84-3.09, 2 Mn 2.86-2.90, 3 Ag 2.96-3.06
11 Ag 0.8366 0.5906 0.4455  10 Au 2.81-3.06, 1 Ag 2.88
12 Ag 0.8959 0.2478 0.9361  7 Au 2.85-2.96, 3 Mn 2.86-3.07, 2 Ag 2.94
13 Ag 0.1634 0.4094 0.5545  10 Au 2.81-3.06, 1 Ag 2.88
14 Ag 0.1041 0.7522 0.0639  7 Au 2.85-2.96, 3 Mn 2.86-3.07, 2 Ag 2.94
15 Mn 0.6630 0.7235 0.8167  8 Au 2.70-2.90, 2 Ag 2.86-2.95
16 Mn 0.3370 0.2765 0.1833  8 Au 2.70-2.90, 2 Ag 2.86-2.95

Computed properties:
The total energy comes out at -62.32 eV/cell. Its space-group type is No. 2. The value obtained for the calculated density is 14.5 g cm⁻³. The calculation puts the excess energy over the best structure of this formula in the dataset at 65.1 meV per atom. The value obtained for the volume is 143.7 Å³/f.u. The value obtained for the energy of formation from the pure elements is 12 meV/atom. The value obtained for the density of states at the Fermi level is 0.347 states/eV/atom.

---

(9)
Computed, not measured: crystalline MnAgAu4 at its relaxed geometry at the PBE level of DFT.

Cell lengths 5.4679, 5.4679, 5.4679 Å; angles 60.00, 60.00, 60.00 degrees
With the nearest neighbours (Å) after each atom.
Sites, in units of the cell vectors:
1 Mn 0.2500 0.2500 0.2500  12 Au 3.21, 4 Ag 3.35
2 Au 0.6250 0.1251 0.6250  6 Au 2.73
3 Au 0.1251 0.6250 0.6250  6 Au 2.73
4 Au 0.6250 0.6250 0.1251  6 Au 2.73
5 Au 0.6250 0.6250 0.6250  6 Au 2.73
6 Ag 0.0000 0.0000 0.0000  12 Au 3.21, 4 Mn 3.35

Computed properties:
The total energy comes out at -24.28 eV/cell. Its space-group type is No. 216. The value obtained for the calculated density is 13.7 g cm⁻³. The calculation puts the excess energy over the best structure of this formula in the dataset at 182.5 meV per atom. The value obtained for the volume is 115.6 Å³/f.u. The value obtained for the energy of formation from the pure elements is 141 meV/atom. The value obtained for the density of states at the Fermi level is 0.520 states/eV/atom.

---

(10)
Computed, not measured: crystalline Mn2AgAu at its relaxed geometry at the PBE level of DFT.

Cell lengths 4.9929, 4.9929, 4.9844 Å; angles 132.77, 132.77, 69.16 degrees
With the nearest neighbours (Å) after each atom.
Sites, in units of the cell vectors:
1 Ag 0.5000 0.5000 0.0000  8 Mn 2.82-2.87, 4 Au 2.87
2 Au 0.2500 0.7500 0.5000  8 Mn 2.82-2.87, 4 Ag 2.87
3 Mn 0.7500 0.2500 0.5000  4 Au 2.82-2.83, 4 Ag 2.87, 4 Mn 2.87
4 Mn 0.0000 0.0000 0.0000  4 Ag 2.82-2.83, 4 Au 2.87, 4 Mn 2.87

Computed properties:
The total energy comes out at -23.77 eV/cell. Its space-group type is No. 22. The value obtained for the calculated density is 10.5 g cm⁻³. The value obtained for the volume is 65.7 Å³/f.u. The value obtained for the energy of formation from the pure elements is 175 meV/atom. The value obtained for the density of states at the Fermi level is 0.690 states/eV/atom.

---

(11)
Computed, not measured: crystalline Mn2AgAu at its relaxed geometry at the PBE level of DFT.

Cell lengths 8.9508, 8.9508, 8.9508 Å; angles 19.16, 19.16, 19.16 degrees
With the nearest neighbours (Å) after each atom.
Sites, in units of the cell vectors:
1 Au 0.2500 0.2500 0.2500  6 Mn 2.77, 6 Au 2.98
2 Ag 0.7500 0.7500 0.7500  6 Mn 2.81, 6 Ag 2.98
3 Mn 0.9988 0.9988 0.9988  3 Au 2.77, 3 Ag 2.81, 6 Mn 2.98
4 Mn 0.5012 0.5012 0.5012  3 Au 2.77, 3 Ag 2.81, 6 Mn 2.98

Computed properties:
The total energy comes out at -23.41 eV/cell. Its space-group type is No. 166. The value obtained for the calculated density is 10.2 g cm⁻³. The value obtained for the volume is 67.5 Å³/f.u. The value obtained for the energy of formation from the pure elements is 265 meV/atom. The value obtained for the density of states at the Fermi level is 0.284 states/eV/atom.